Sm5Y4Th | PBE | relaxed

Values from the calculation:
- symmetry = C2/m, No. 12
- ΔH_f (0 K) (eV/f.u.) = 0.43
- Fermi-level density of states (states/eV/f.u.) = 15.30

Cell: 3.5475 11.5657 12.1101 Å, 136.84 98.42 90.00°
Last column: nearest neighbours and their distance in Å.
Atoms (fractional coordinates):
Sm1 0.2037 0.2954 0.4075  6 Sm 3.55-3.87, 5 Y 3.56-3.87, 2 Th 3.75
Sm2 0.1904 0.7989 0.3807  4 Y 3.32-3.60, 6 Sm 3.55-3.65
Sm3 0.8096 0.2011 0.6193  4 Y 3.32-3.60, 6 Sm 3.55-3.65
Sm4 0.5000 0.5000 0.0000  6 Y 3.37-3.72, 6 Sm 3.55-3.56
Sm5 0.7963 0.7046 0.5925  6 Sm 3.55-3.87, 5 Y 3.56-3.87, 2 Th 3.75
Y1 0.6053 0.9121 0.2106  6 Sm 3.32-3.60, 1 Th 3.34, 4 Y 3.54-3.55
Y2 0.0836 0.3700 0.1672  6 Sm 3.53-3.87, 4 Y 3.54-3.55, 2 Th 3.58
Y3 0.3947 0.0879 0.7894  6 Sm 3.32-3.60, 1 Th 3.34, 4 Y 3.54-3.55
Y4 0.9164 0.6300 0.8328  6 Sm 3.53-3.87, 4 Y 3.54-3.55, 2 Th 3.58
Th1 0.5000 0.0000 0.0000  6 Y 3.34-3.58, 2 Th 3.55


PrY12Er5 | PBE | relaxed

Values from the calculation:
- symmetry = Cmmm, No. 65
- ΔH_f (0 K) (eV/f.u.) = 0.46
- Fermi-level density of states (states/eV/f.u.) = 26.88

Cell: 15.1050 10.6898 5.0340 Å, 90.00 90.00 45.05°
Last column: nearest neighbours and their distance in Å.
Atoms (fractional coordinates):
Pr1 0.0000 0.0000 0.0000  8 Y 3.57, 4 Er 3.58
Y1 0.8328 0.0000 0.4999  2 Pr 3.57, 8 Y 3.57, 2 Er 3.59
Y2 0.1672 0.0000 0.5001  2 Pr 3.57, 8 Y 3.57, 2 Er 3.59
Y3 0.6650 0.0000 0.9999  4 Er 3.54, 8 Y 3.56-3.59
Y4 0.3350 0.0000 0.0001  4 Er 3.54, 8 Y 3.56-3.59
Y5 0.3341 0.6646 0.0001  8 Y 3.55-3.59, 3 Er 3.55-3.56, 1 Pr 3.57
Y6 0.0013 0.6646 0.9999  8 Y 3.55-3.59, 3 Er 3.55-3.56, 1 Pr 3.57
Y7 0.9987 0.3354 0.0001  8 Y 3.55-3.59, 3 Er 3.55-3.56, 1 Pr 3.57
Y8 0.6659 0.3354 0.9999  8 Y 3.55-3.59, 3 Er 3.55-3.56, 1 Pr 3.57
Y9 0.4988 0.3323 0.4999  4 Er 3.53-3.54, 8 Y 3.56-3.61
Y10 0.8311 0.6677 0.4999  4 Er 3.53-3.54, 8 Y 3.56-3.61
Y11 0.1690 0.3323 0.5001  4 Er 3.53-3.54, 8 Y 3.56-3.61
Y12 0.5012 0.6677 0.5001  4 Er 3.53-3.54, 8 Y 3.56-3.61
Er1 0.5000 0.0000 0.5000  8 Y 3.54, 4 Er 3.56
Er2 0.1683 0.6633 0.5000  8 Y 3.53-3.59, 2 Er 3.55, 2 Pr 3.58
Er3 0.8317 0.3367 0.5000  8 Y 3.53-3.59, 2 Er 3.55, 2 Pr 3.58
Er4 0.6664 0.6671 0.0000  8 Y 3.54-3.55, 4 Er 3.55-3.56
Er5 0.3336 0.3329 0.0000  8 Y 3.54-3.55, 4 Er 3.55-3.56


ZrAg2Hg2 | PBE | relaxed

Values from the calculation:
- symmetry = P4/mbm, No. 127
- ΔH_f (0 K) (eV/f.u.) = 0.78
- Fermi-level density of states (states/eV/f.u.) = 3.79

Cell: 8.1768 8.1768 3.1252 Å, 90.00 90.00 90.00°
Last column: nearest neighbours and their distance in Å.
Atoms (fractional coordinates):
Zr1 0.0000 0.0000 0.0000  2 Zr 3.13, 4 Hg 3.19, 8 Ag 3.42
Zr2 0.5000 0.5000 0.0000  2 Zr 3.13, 4 Hg 3.19, 8 Ag 3.42
Hg1 0.3670 0.8670 0.0000  6 Ag 2.79-2.92, 1 Hg 3.07
Hg2 0.8670 0.6330 0.0000  6 Ag 2.79-2.92, 1 Hg 3.07
Hg3 0.6330 0.1330 0.0000  6 Ag 2.79-2.92, 1 Hg 3.07
Hg4 0.1330 0.3670 0.0000  6 Ag 2.79-2.92, 1 Hg 3.07
Ag1 0.1673 0.6673 0.5000  6 Hg 2.79-2.92
Ag2 0.6673 0.8327 0.5000  6 Hg 2.79-2.92
Ag3 0.8327 0.3327 0.5000  6 Hg 2.79-2.92
Ag4 0.3327 0.1673 0.5000  6 Hg 2.79-2.92


InFeNi2C | PBE | relaxed

Values from the calculation:
- symmetry = P4/mmm, No. 123
- ΔH_f (0 K) (eV/f.u.) = 12.93
- Fermi-level density of states (states/eV/f.u.) = 7.25

Cell: 4.6187 4.8412 4.6187 Å, 90.00 90.00 90.00°
Last column: nearest neighbours and their distance in Å.
Atoms (fractional coordinates):
Ni1 0.0000 0.0000 0.5000  2 In 2.31
Ni2 0.5000 0.0000 0.0000  2 In 2.31
C1 0.5000 0.5000 0.5000  4 Fe 3.27, 8 Ni 3.35
Fe1 0.0000 0.5000 0.0000  2 In 2.42
In1 0.0000 0.0000 0.0000  4 Ni 2.31, 2 Fe 2.42


Zn3Se | PBE | relaxed

Values from the calculation:
- energy relative to the elements, uncorrected (meV per atom) = 134
- symmetry = Pm-3m, No. 221
- Fermi-level density of states (states/eV/f.u.) = 2.00

Cell: 4.1407 4.1407 4.1407 Å, 90.00 90.00 90.00°
Last column: nearest neighbours and their distance in Å.
Atoms (fractional coordinates):
Se1 0.0000 0.0000 0.0000  12 Zn 2.93
Zn1 0.0000 0.5000 0.5000  8 Zn 2.93, 4 Se 2.93
Zn2 0.5000 0.0000 0.5000  8 Zn 2.93, 4 Se 2.93
Zn3 0.5000 0.5000 0.0000  8 Zn 2.93, 4 Se 2.93


LaY2AlNi | PBE | relaxed

Values from the calculation:
- symmetry = P4/mmm, No. 123
- ΔH_f (0 K) (eV/f.u.) = -0.74
- Fermi-level density of states (states/eV/f.u.) = 7.16

Cell: 5.2642 5.2642 4.8001 Å, 90.00 90.00 90.00°
Last column: nearest neighbours and their distance in Å.
Atoms (fractional coordinates):
Y1 0.0000 0.5000 0.0000  2 Ni 2.63
Y2 0.5000 0.0000 0.0000  2 Ni 2.63
Ni1 0.0000 0.0000 0.0000  2 Al 2.40, 4 Y 2.63
Al1 0.0000 0.0000 0.5000  2 Ni 2.40
La1 0.5000 0.5000 0.5000  8 Y 3.56, 4 Al 3.72


Tl3ReAg3Se8 | PBE | relaxed

Values from the calculation:
- energy relative to the elements, uncorrected (meV per atom) = -143
- symmetry = R-3m, No. 166
- Fermi-level density of states (states/eV/f.u.) = 7.02

Cell: 8.1880 8.1872 8.2010 Å, 119.95 90.00 120.00°
Last column: nearest neighbours and their distance in Å.
Atoms (fractional coordinates):
Tl1 0.0000 0.0000 0.0000  6 Se 2.95-3.20
Tl2 0.0000 0.5000 0.0000  6 Se 2.95-3.20
Tl3 0.5000 0.5000 0.0000  6 Se 2.95-3.20
Re1 0.0000 0.0000 0.5000  6 Se 2.51
Ag1 0.5000 0.0000 0.5000  6 Se 2.65-2.89
Ag2 0.5000 0.5000 0.5000  6 Se 2.65-2.89
Ag3 0.0000 0.5000 0.5000  6 Se 2.65-2.89
Se1 0.2741 0.5481 0.3222  3 Ag 2.65
Se2 0.7259 0.4519 0.6778  3 Ag 2.65
Se3 0.7833 0.5667 0.2884  1 Re 2.51
Se4 0.2167 0.4333 0.7116  1 Re 2.51
Se5 0.7834 0.0052 0.2885  1 Re 2.51
Se6 0.2166 0.9948 0.7115  1 Re 2.51
Se7 0.2218 0.0052 0.2885  1 Re 2.51
Se8 0.7782 0.9948 0.7115  1 Re 2.51


LaUN | PBE | relaxed

Values from the calculation:
- energy relative to the elements, uncorrected (meV per atom) = -444
- symmetry = I4mm, No. 107
- Fermi-level density of states (states/eV/f.u.) = 5.06

Cell: 3.2204 3.2204 7.1874 Å, 102.95 102.95 90.00°
Last column: nearest neighbours and their distance in Å.
Atoms (fractional coordinates):
N1 0.1682 0.1682 0.3363  4 U 2.32, 1 La 2.56
U1 0.7017 0.7017 0.4033  4 N 2.32
La1 0.9802 0.9802 0.9604  1 N 2.56